(1)
The following is a PBE-GGA calculation of a geometry-optimized NbRe3I structure, from Alexandria.

Output
Crystal system = cubic
Energy relative to the lowest polymorph listed for this composition = 0.153 eV per atom
Raw total energy = -35.20 eV for the cell shown

The structure in CIF format:
```
data_NbRe3I
_chemical_formula_sum 'Nb1 Re3 I1'
_cell_length_a 4.751
_cell_length_b 4.751
_cell_length_c 4.751
_cell_angle_alpha 90.00
_cell_angle_beta 90.00
_cell_angle_gamma 90.00
_space_group_name_H-M_alt 'P m -3 m'
_space_group_IT_number 221
_space_group_name_Hall '-P 4 2 3'
loop_
_atom_site_label
_atom_site_type_symbol
_atom_site_fract_x
_atom_site_fract_y
_atom_site_fract_z
Nb1 Nb 0.000 0.000 0.000
Re1 Re 0.000 0.500 0.500
I1 I 0.500 0.500 0.500
```

(2)
The following is a PBE-GGA calculation of a geometry-optimized NbRe2I2 structure, from Alexandria.

Output
Crystal system = tetragonal
Energy relative to the lowest polymorph listed for this composition = 0.000 eV per atom
Raw total energy = -63.56 eV for the cell shown

The structure in CIF format:
```
data_NbRe2I2
_chemical_formula_sum 'Nb2 Re4 I4'
_cell_length_a 6.879
_cell_length_b 6.879
_cell_length_c 4.472
_cell_angle_alpha 90.00
_cell_angle_beta 90.00
_cell_angle_gamma 90.00
_space_group_name_H-M_alt 'P 4/m b m'
_space_group_IT_number 127
_space_group_name_Hall '-P 4 2ab'
loop_
_atom_site_label
_atom_site_type_symbol
_atom_site_fract_x
_atom_site_fract_y
_atom_site_fract_z
Nb1 Nb 0.000 0.000 0.000
Re1 Re 0.126 0.374 0.000
I1 I 0.192 0.692 0.500
```

DOS(E_F) in states/eV per atom, matching the order above: 1.1918 1.0304
Uncorrected formation energy in eV/f.u., matching the order above: 13.8 6.3